Record 1
The following is a DFT calculation (PBE) of a relaxed Nd8Y2Ho crystal.

a b c (Å): 18.590 5.161 8.156
angles (deg): 90.00 105.21 90.00
Space group C2/m (No. 12)
Symmetry-distinct sites (fractional):
1 Nd 0.046 0.000 0.229 (multiplicity 4)
2 Nd 0.091 0.500 0.952 (multiplicity 4)
3 Nd 0.136 0.000 0.683 (multiplicity 4)
4 Nd 0.182 0.500 0.410 (multiplicity 4)
5 Y 0.227 0.000 0.135 (multiplicity 4)
6 Ho 0.000 0.500 0.500 (multiplicity 2)

Computed properties:
DOS at the Fermi energy (states/eV/f.u.): 16.84
Volume (Å³/cell): 755.1
Magnetic moment (μB/f.u.): 0.00
Energy relative to the elements (meV per atom): 15

Record 2
The following is a DFT calculation (PBE) of a relaxed NdY4Ho6 crystal.

a b c (Å): 6.556 6.556 17.107
angles (deg): 90.00 90.00 90.00
Space group I-42m (No. 121)
Symmetry-distinct sites (fractional):
1 Nd 0.000 0.000 0.000 (multiplicity 2)
2 Y 0.187 0.187 0.825 (multiplicity 8)
3 Ho 0.000 0.500 0.000 (multiplicity 4)
4 Ho 0.179 0.179 0.630 (multiplicity 8)

Computed properties:
DOS at the Fermi energy (states/eV/f.u.): 16.41
Volume (Å³/cell): 735.3
Magnetic moment (μB/f.u.): 0.00
Energy relative to the elements (meV per atom): 312

Record 3
The following is a DFT calculation (PBE) of a relaxed Nd3Y2Ho crystal.

a b c (Å): 5.144 15.386 5.072
angles (deg): 90.00 90.00 90.00
Space group Cmmm (No. 65)
Symmetry-distinct sites (fractional):
1 Nd 0.000 0.000 0.000 (multiplicity 2)
2 Nd 0.000 0.334 0.000 (multiplicity 4)
3 Y 0.000 0.166 0.500 (multiplicity 4)
4 Ho 0.000 0.500 0.500 (multiplicity 2)

Computed properties:
DOS at the Fermi energy (states/eV/f.u.): 8.28
Volume (Å³/cell): 401.5
Magnetic moment (μB/f.u.): 0.00
Energy relative to the elements (meV per atom): 15

Record 4
The following is a DFT calculation (PBE) of a relaxed Nd2Y12Ho crystal.

a b c (Å): 7.087 11.409 24.897
angles (deg): 90.00 90.00 90.00
Space group Cmme (No. 67)
Symmetry-distinct sites (fractional):
1 Nd 0.000 0.250 0.231 (multiplicity 4)
2 Nd 0.000 0.250 0.765 (multiplicity 4)
3 Y 0.000 0.000 0.424 (multiplicity 8)
4 Y 0.000 0.014 0.061 (multiplicity 8)
5 Y 0.239 0.250 0.915 (multiplicity 8)
6 Y 0.250 0.000 0.173 (multiplicity 8)
7 Y 0.250 0.000 0.302 (multiplicity 8)
8 Y 0.250 0.250 0.374 (multiplicity 8)
9 Ho 0.000 0.250 0.500 (multiplicity 4)

Computed properties:
DOS at the Fermi energy (states/eV/f.u.): 25.90
Volume (Å³/cell): 2013.1
Magnetic moment (μB/f.u.): 0.00
Energy relative to the elements (meV per atom): 167

Record 5
The following is a DFT calculation (PBE) of a relaxed Nd8Y4Ho crystal.

a b c (Å): 11.2642 11.2642 13.5454
angles (deg): 90.00 90.00 120.00
Space group R-3m (No. 166, hexagonal axes)
Symmetry-distinct sites (fractional):
1 Nd 0.0000 0.0000 0.2398 (multiplicity 6)
2 Nd 0.0098 0.5049 0.7437 (multiplicity 18)
3 Y 0.0000 0.0000 0.0000 (multiplicity 3)
4 Y 0.0000 0.5000 0.0000 (multiplicity 9)
5 Ho 0.0000 0.0000 0.5000 (multiplicity 3)

Computed properties:
DOS at the Fermi energy (states/eV/f.u.): 22.32
Volume (Å³/cell): 1488.4
Magnetic moment (μB/f.u.): 0.00
Energy relative to the elements (meV per atom): 480

Record 6
The following is a DFT calculation (PBE) of a relaxed NdYHo crystal.

a b c (Å): 3.6106 3.6106 17.4324
angles (deg): 90.00 90.00 120.00
Space group P6_3mc (No. 186)
Symmetry-distinct sites (fractional):
1 Nd 0.3333 0.6667 0.0000 (multiplicity 2)
2 Y 0.3333 0.6667 0.6710 (multiplicity 2)
3 Ho 0.0000 0.0000 0.3341 (multiplicity 2)

Computed properties:
DOS at the Fermi energy (states/eV/f.u.): 4.44
Volume (Å³/cell): 196.8
Magnetic moment (μB/f.u.): 0.00
Energy relative to the elements (meV per atom): 5

Record 7
The following is a DFT calculation (PBE) of a relaxed NdY4Ho10 crystal.

a b c (Å): 9.689 9.689 10.494
angles (deg): 90.00 90.00 90.00
Space group I4/m (No. 87)
Symmetry-distinct sites (fractional):
1 Nd 0.000 0.000 0.000 (multiplicity 2)
2 Y 0.069 0.665 0.000 (multiplicity 8)
3 Ho 0.000 0.500 0.250 (multiplicity 4)
4 Ho 0.112 0.787 0.341 (multiplicity 16)

Computed properties:
DOS at the Fermi energy (states/eV/f.u.): 24.57
Volume (Å³/cell): 985.3
Magnetic moment (μB/f.u.): 0.00
Energy relative to the elements (meV per atom): 348

Record 8
The following is a DFT calculation (PBE) of a relaxed NdY4Ho2 crystal.

a b c (Å): 6.099 8.391 9.548
angles (deg): 88.56 78.76 72.58
Space group P1 (No. 1)
Symmetry-distinct sites (fractional):
1 Nd 0.000 0.000 0.000 (multiplicity 1)
2 Nd 0.263 0.164 0.275 (multiplicity 1)
3 Y 0.458 0.213 0.912 (multiplicity 1)
4 Y 0.544 0.782 0.073 (multiplicity 1)
5 Y 0.592 0.691 0.429 (multiplicity 1)
6 Y 0.669 0.366 0.203 (multiplicity 1)
7 Y 0.712 0.269 0.556 (multiplicity 1)
8 Y 0.803 0.841 0.716 (multiplicity 1)
9 Y 0.906 0.420 0.847 (multiplicity 1)
10 Y 0.998 0.893 0.359 (multiplicity 1)
11 Ho 0.109 0.561 0.130 (multiplicity 1)
12 Ho 0.151 0.496 0.498 (multiplicity 1)
13 Ho 0.255 0.051 0.632 (multiplicity 1)
14 Ho 0.356 0.632 0.779 (multiplicity 1)

Computed properties:
DOS at the Fermi energy (states/eV/f.u.): 12.16
Volume (Å³/cell): 457.0
Magnetic moment (μB/f.u.): 0.00
Energy relative to the elements (meV per atom): 68

Record 9
The following is a DFT calculation (PBE) of a relaxed NdY3Ho crystal.

a b c (Å): 3.628 11.703 8.556
angles (deg): 90.00 102.20 90.00
Space group P2_1/m (No. 11)
Symmetry-distinct sites (fractional):
1 Nd 0.001 0.250 0.008 (multiplicity 2)
2 Y 0.155 0.501 0.311 (multiplicity 4)
3 Y 0.324 0.750 0.647 (multiplicity 2)
4 Ho 0.334 0.250 0.671 (multiplicity 2)

Computed properties:
DOS at the Fermi energy (states/eV/f.u.): 8.03
Volume (Å³/cell): 355.0
Magnetic moment (μB/f.u.): 0.00
Energy relative to the elements (meV per atom): 294

Record 10
The following is a DFT calculation (PBE) of a relaxed Nd11Y9Ho4 crystal.

a b c (Å): 17.066 25.838 3.677
angles (deg): 90.00 90.00 90.00
Space group Cmmm (No. 65)
Symmetry-distinct sites (fractional):
1 Nd 0.000 0.000 0.000 (multiplicity 2)
2 Nd 0.000 0.160 0.000 (multiplicity 4)
3 Nd 0.000 0.369 0.000 (multiplicity 4)
4 Nd 0.207 0.500 0.000 (multiplicity 4)
5 Nd 0.225 0.181 0.000 (multiplicity 8)
6 Y 0.000 0.500 0.500 (multiplicity 2)
7 Y 0.102 0.267 0.500 (multiplicity 8)
8 Y 0.141 0.073 0.500 (multiplicity 8)
9 Ho 0.157 0.398 0.500 (multiplicity 8)

Computed properties:
DOS at the Fermi energy (states/eV/f.u.): 31.48
Volume (Å³/cell): 1621.4
Magnetic moment (μB/f.u.): 0.00
Energy relative to the elements (meV per atom): 47

Record 11
The following is a DFT calculation (PBE) of a relaxed NdY3Ho5 crystal.

a b c (Å): 9.7346 9.7346 6.9770
angles (deg): 90.00 90.00 120.00
Space group P6_3/mcm (No. 193)
Symmetry-distinct sites (fractional):
1 Nd 0.0000 0.0000 0.0000 (multiplicity 2)
2 Y 0.0000 0.3382 0.2500 (multiplicity 6)
3 Ho 0.0000 0.3324 0.7500 (multiplicity 6)
4 Ho 0.3333 0.6667 0.0000 (multiplicity 4)

Computed properties:
DOS at the Fermi energy (states/eV/f.u.): 15.09
Volume (Å³/cell): 572.6
Magnetic moment (μB/f.u.): 0.00
Energy relative to the elements (meV per atom): 73

Record 12
The following is a DFT calculation (PBE) of a relaxed NdY2Ho8 crystal.

a b c (Å): 9.266 17.066 5.938
angles (deg): 90.00 129.73 90.00
Space group C2/m (No. 12)
Symmetry-distinct sites (fractional):
1 Nd 0.000 0.000 0.000 (multiplicity 2)
2 Y 0.000 0.311 0.500 (multiplicity 4)
3 Ho 0.000 0.201 0.000 (multiplicity 4)
4 Ho 0.003 0.500 0.744 (multiplicity 4)
5 Ho 0.229 0.130 0.728 (multiplicity 8)

Computed properties:
DOS at the Fermi energy (states/eV/f.u.): 15.47
Volume (Å³/cell): 722.2
Magnetic moment (μB/f.u.): 0.00
Energy relative to the elements (meV per atom): 155